i:
Material: CsHPb
Method: DFT, PBE
State: optimized geometry

Summary:
SG	Cm (8)

Cell: 6.6155 4.7818 14.1375 Å, 90.00 115.28 90.00°
Fractional positions:
1 Cs 0.4391 0.0000 0.0753
2 Cs 0.4391 0.5000 0.5753
3 Cs 0.7846 0.0000 0.8885
4 Cs 0.7846 0.5000 0.3885
5 H 0.5007 0.0000 0.2940
6 H 0.5007 0.5000 0.7940
7 H 0.1154 0.0000 0.5601
8 H 0.1154 0.5000 0.0601
9 Pb 0.9811 0.0000 0.6572
10 Pb 0.9811 0.5000 0.1572
11 Pb 0.2211 0.0000 0.3071
12 Pb 0.2211 0.5000 0.8071


ii:
Material: CsHPb
Method: DFT, PBE
State: optimized geometry

Summary:
SG	C2/m (12)

Cell: 4.9304 7.2717 7.0986 Å, 116.87 90.00 109.82°
Fractional positions:
1 Cs 0.0868 0.1735 0.8289
2 Cs 0.9132 0.8265 0.1711
3 H 0.5251 0.0502 0.0595
4 H 0.4749 0.9498 0.9405
5 Pb 0.3133 0.6267 0.4928
6 Pb 0.6867 0.3733 0.5072


iii:
Material: CsHPb
Method: DFT, PBE
State: optimized geometry

Summary:
SG	P1 (1)

Cell: 5.0187 6.1097 7.6957 Å, 112.89 90.18 90.01°
Fractional positions:
1 Cs 0.7962 0.5596 0.8448
2 Cs 0.2933 0.2413 0.2700
3 H 0.7941 0.5042 0.4256
4 H 0.2966 0.8133 0.8287
5 Pb 0.2958 0.0206 0.6957
6 Pb 0.7943 0.8190 0.4242


iv:
Material: CsHPb
Method: DFT, PBE
State: optimized geometry

Summary:
SG	P-1 (2)

Cell: 5.9791 4.0262 11.8315 Å, 97.75 103.55 48.78°
Fractional positions:
1 Pb 0.0758 0.9705 0.6525
2 Pb 0.6368 0.0132 0.7808
3 Cs 0.4612 0.9704 0.4243
4 Cs 0.2513 0.0137 0.0089
5 H 0.8576 0.5896 0.2166
6 H 0.8551 0.3952 0.2167


Relative calculated energies, zero for the most stable structure, unit meV per atom: i 11; ii 17; iii 0; iv 80.


i:
Material: CsHPb
Method: DFT, PBE
State: optimized geometry

Summary:
SG	Cm (8)

Cell: 7.7443 4.9074 13.8547 Å, 90.00 123.28 90.00°
Fractional positions:
1 Cs 0.8901 0.0000 0.5157
2 Cs 0.8901 0.5000 0.0157
3 Cs 0.3037 0.0000 0.9093
4 Cs 0.3037 0.5000 0.4093
5 H 0.6347 0.0000 0.8480
6 H 0.6347 0.5000 0.3480
7 H 0.7568 0.0000 0.0759
8 H 0.7568 0.5000 0.5759
9 Pb 0.8338 0.0000 0.2323
10 Pb 0.8338 0.5000 0.7323
11 Pb 0.5389 0.0000 0.6876
12 Pb 0.5389 0.5000 0.1876


ii:
Material: CsHPb
Method: DFT, PBE
State: optimized geometry

Summary:
SG	P-1 (2)

Cell: 4.9819 5.9807 7.8271 Å, 111.59 90.52 90.02°
Fractional positions:
1 Cs 0.7458 0.8495 0.2173
2 Cs 0.2542 0.1505 0.7827
3 H 0.7522 0.8839 0.6220
4 H 0.2478 0.1161 0.3780
5 Pb 0.2478 0.4291 0.3628
6 Pb 0.7522 0.5709 0.6372


Relative calculated energies, zero for the most stable structure, unit meV per atom: i 26; ii 0.


i:
Material: Cs2HPb2
Method: DFT, PBE
State: optimized geometry

Summary:
SG	I4/mmm (139)

Cell: 7.8063 7.8063 6.6733 Å, 54.20 54.20 90.00°
Fractional positions:
1 Pb 0.3036 0.3036 0.3928
2 Pb 0.6964 0.6964 0.6072
3 Cs 0.7500 0.2500 0.5000
4 Cs 0.2500 0.7500 0.5000
5 H 0.0000 0.0000 0.0000


ii:
Material: Cs2HPb2
Method: DFT, PBE
State: optimized geometry

Summary:
SG	I4/mmm (139)

Cell: 4.4183 4.4183 11.2448 Å, 78.67 78.67 90.00°
Fractional positions:
1 Pb 0.7500 0.2500 0.5000
2 Pb 0.2500 0.7500 0.5000
3 Cs 0.4122 0.4122 0.1756
4 Cs 0.5878 0.5878 0.8244
5 H 0.0000 0.0000 0.0000


Relative calculated energies, zero for the most stable structure, unit meV per atom: i 243; ii 0.


i:
Material: Cs2HPd
Method: DFT, PBE
State: optimized geometry

Summary:
SG	I-42d (122)

Cell: 8.1371 8.1371 7.4683 Å, 56.99 56.99 90.00°
Fractional positions:
1 Cs 0.5860 0.1250 0.2500
2 Cs 0.1640 0.6250 0.2500
3 Cs 0.3750 0.4140 0.7500
4 Cs 0.8750 0.8360 0.7500
5 H 0.5000 0.5000 0.0000
6 H 0.2500 0.7500 0.5000
7 Pd 0.0000 0.0000 0.0000
8 Pd 0.7500 0.2500 0.5000


ii:
Material: Cs2HPd
Method: DFT, PBE
State: optimized geometry

Summary:
SG	R-3m (166)

Cell: 4.0998 4.0998 10.0298 Å, 78.21 78.21 60.00°
Fractional positions:
1 Cs 0.1025 0.1025 0.6925
2 Cs 0.8975 0.8975 0.3075
3 H 0.5000 0.5000 0.5000
4 Pd 0.0000 0.0000 0.0000


iii:
Material: Cs2HPd
Method: DFT, PBE
State: optimized geometry

Summary:
SG	P2_1/m (11)

Cell: 3.7416 9.4858 9.4119 Å, 104.47 90.00 90.00°
Fractional positions:
1 Cs 0.7500 0.2712 0.4375
2 Cs 0.2500 0.7288 0.5625
3 Cs 0.2500 0.7292 0.0527
4 Cs 0.7500 0.2708 0.9473
5 H 0.7500 0.4884 0.2468
6 H 0.2500 0.5116 0.7532
7 Pd 0.2500 0.4829 0.2455
8 Pd 0.7500 0.5171 0.7545


Relative calculated energies, zero for the most stable structure, unit meV per atom: i 321; ii 366; iii 0.


i:
Material: CsHPd2
Method: DFT, PBE
State: optimized geometry

Summary:
SG	Fm-3m (225)

Cell: 4.8414 4.8414 4.8414 Å, 60.00 60.00 60.00°
Fractional positions:
1 Cs 0.5000 0.5000 0.5000
2 H 0.0000 0.0000 0.0000
3 Pd 0.2500 0.2500 0.2500
4 Pd 0.7500 0.7500 0.7500


ii:
Material: CsHPd2
Method: DFT, PBE
State: optimized geometry

Summary:
SG	R-3m (166)

Cell: 3.3545 3.3545 7.8859 Å, 77.72 77.72 60.00°
Fractional positions:
1 Cs 0.0000 0.0000 0.0000
2 H 0.5000 0.5000 0.5000
3 Pd 0.1237 0.1237 0.6290
4 Pd 0.8763 0.8763 0.3710


Relative calculated energies, zero for the most stable structure, unit meV per atom: i 557; ii 0.


i:
Material: CsH2Pd
Method: DFT, PBE
State: optimized geometry

Summary:
SG	Cmcm (63)

Cell: 5.7533 5.4889 6.3825 Å, 90.00 116.79 90.00°
Fractional positions:
1 Cs 0.6535 0.7500 0.3069
2 Cs 0.3465 0.2500 0.6931
3 H 0.0998 0.5058 0.1996
4 H 0.9002 0.4942 0.8004
5 H 0.0998 0.9942 0.1996
6 H 0.9002 0.0058 0.8004
7 Pd 0.0066 0.2500 0.0132
8 Pd 0.9934 0.7500 0.9868


ii:
Material: CsH2Pd
Method: DFT, PBE
State: optimized geometry

Summary:
SG	R-3m (166)

Cell: 3.3939 3.3939 6.4586 Å, 74.77 74.77 60.00°
Fractional positions:
1 Cs 0.5000 0.5000 0.5000
2 H 0.2980 0.2980 0.1060
3 H 0.7020 0.7020 0.8940
4 Pd 0.0000 0.0000 0.0000


iii:
Material: CsH2Pd
Method: DFT, PBE
State: optimized geometry

Summary:
SG	I4_1/amd (141)

Cell: 5.4237 5.4237 6.2105 Å, 64.11 64.11 90.00°
Fractional positions:
1 Cs 0.0000 0.0000 0.0000
2 Cs 0.7500 0.2500 0.5000
3 H 0.3755 0.1250 0.2500
4 H 0.3745 0.6250 0.2500
5 H 0.3750 0.6245 0.7500
6 H 0.8750 0.6255 0.7500
7 Pd 0.5000 0.5000 0.0000
8 Pd 0.2500 0.7500 0.5000


Relative calculated energies, zero for the most stable structure, unit meV per atom: i 0; ii 540; iii 228.